Material: Dy6Th2Sc
Method: DFT, PBE
State: optimized geometry

Cell lengths 8.7308, 8.7308, 11.5141 Å; angles 124.76, 124.76, 58.03 degrees
Last column: nearest neighbours and their distance in Å.
Fractional coordinates of all 18 atoms:
1 Dy 0.0407 0.7884 0.8372  1 Sc 3.11, 3 Dy 3.35-3.44, 3 Th 3.35-3.44
2 Dy 0.1419 0.6310 0.2428  5 Dy 3.35-3.67, 1 Sc 3.39, 1 Th 3.59
3 Dy 0.2116 0.9593 0.6628  1 Sc 3.11, 3 Dy 3.35-3.44, 3 Th 3.35-3.44
4 Dy 0.3177 0.3935 0.9287  1 Sc 3.06, 2 Dy 3.35-3.38
5 Dy 0.3690 0.8581 0.2572  5 Dy 3.35-3.67, 1 Sc 3.39, 1 Th 3.59
6 Dy 0.3935 0.3177 0.4287  1 Sc 3.06, 2 Dy 3.35-3.38
7 Dy 0.6065 0.6823 0.5713  1 Sc 3.06, 2 Dy 3.35-3.38
8 Dy 0.6310 0.1419 0.7428  5 Dy 3.35-3.67, 1 Sc 3.39, 1 Th 3.59
9 Dy 0.6823 0.6065 0.0713  1 Sc 3.06, 2 Dy 3.35-3.38
10 Dy 0.7884 0.0407 0.3372  1 Sc 3.11, 3 Dy 3.35-3.44, 3 Th 3.35-3.44
11 Dy 0.8581 0.3690 0.7572  5 Dy 3.35-3.67, 1 Sc 3.39, 1 Th 3.59
12 Dy 0.9593 0.2116 0.1628  1 Sc 3.11, 3 Dy 3.35-3.44, 3 Th 3.35-3.44
13 Th 0.1119 0.2849 0.5352  7 Dy 3.35-3.73, 1 Th 3.53, 2 Sc 3.53-3.73
14 Th 0.2849 0.1119 0.0352  7 Dy 3.35-3.73, 1 Th 3.53, 2 Sc 3.53-3.73
15 Th 0.7151 0.8881 0.9648  7 Dy 3.35-3.73, 1 Th 3.53, 2 Sc 3.53-3.73
16 Th 0.8881 0.7151 0.4648  7 Dy 3.35-3.73, 1 Th 3.53, 2 Sc 3.53-3.73
17 Sc 0.3967 0.6033 0.7500  6 Dy 3.06-3.39
18 Sc 0.6033 0.3967 0.2500  6 Dy 3.06-3.39

- SG = C2/c, No. 15
- excess energy over the best structure of this formula in the dataset (meV per atom) = 104
- DFT formation energy (eV/f.u.) = 1.638